First-principles (PBE) data for InCu4Se after structural relaxation, as listed in Alexandria.

## Properties
Space group: No. 216
Size of the total moment, Bohr magnetons per cell: 0.0
Uncorrected formation energy, eV per atom: 0.11
Energy, eV per atom: -3.6545
D(E_F), states/eV per atom: 0.45

Cell and atoms, written as POSCAR:
```
InCu4Se
1.0
-0.354 2.110 4.604
-3.050 -2.048 3.503
1.989 -2.357 4.032
Cu In Se
4 1 1
direct
0.375 0.875 0.375
0.375 0.375 0.875
0.375 0.375 0.375
0.875 0.375 0.375
0.750 0.750 0.750
0.000 0.000 0.000
```

First-principles (PBE) data for La2TbSi2 after structural relaxation, as listed in Alexandria.

## Properties
Space group: No. 12
Size of the total moment, Bohr magnetons per cell: 0.0
Uncorrected formation energy, eV per atom: -0.63
Energy, eV per atom: -5.6954
D(E_F), states/eV per atom: 0.82

Cell and atoms, written as POSCAR:
```
La2TbSi2
1.0
-2.861 0.380 3.361
-5.866 -2.675 -1.771
0.571 -9.076 4.431
Tb Si La
2 4 4
direct
0.225 0.917 0.632
0.775 0.083 0.368
0.993 0.120 0.894
0.109 0.335 0.447
0.891 0.665 0.553
0.007 0.880 0.106
0.515 0.658 0.312
0.679 0.732 0.910
0.321 0.268 0.090
0.485 0.342 0.688
```

Which of these has the lowest D(E_F)?
InCu4Se

Which of these has the lowest energy?
La2TbSi2

What is the uncorrected formation energy in the second record?
-0.63 eV per atom